# 1
# La5In2Pd

A geometry-optimized La5In2Pd structure (PBE, Alexandria via LeMat-Bulk).

abc: 7.133 13.385 5.246
angles: 90.00 90.00 90.00
Positions (direct):
La (0.000, 0.000, 0.000)
La (0.111, 0.286, 0.000)
La (0.170, 0.588, 0.500)
La (0.330, 0.088, 0.500)
La (0.389, 0.786, 0.000)
La (0.500, 0.500, 0.000)
La (0.611, 0.214, 0.000)
La (0.670, 0.912, 0.500)
La (0.830, 0.412, 0.500)
La (0.889, 0.714, 0.000)
In (0.122, 0.846, 0.500)
In (0.378, 0.346, 0.500)
In (0.622, 0.654, 0.500)
In (0.878, 0.154, 0.500)
Pd (0.000, 0.500, 0.000)
Pd (0.500, 0.000, 0.000)

Total energy ... -4.87 eV/atom

=====

# 2
# LaIn3Pd3

A geometry-optimized LaIn3Pd3 structure (PBE, Alexandria via LeMat-Bulk).

abc: 7.275 7.275 7.275
angles: 90.00 90.00 90.00
Positions (direct):
La (0.000, 0.000, 0.000)
La (0.500, 0.500, 0.500)
In (0.000, 0.250, 0.500)
In (0.000, 0.750, 0.500)
In (0.250, 0.500, 0.000)
In (0.500, 0.000, 0.250)
In (0.500, 0.000, 0.750)
In (0.750, 0.500, 0.000)
Pd (0.000, 0.500, 0.250)
Pd (0.000, 0.500, 0.750)
Pd (0.250, 0.000, 0.500)
Pd (0.500, 0.250, 0.000)
Pd (0.500, 0.750, 0.000)
Pd (0.750, 0.000, 0.500)

Total energy ... -4.26 eV/atom
Offset from the most stable computed form ... 271 kJ/mol of formula units

=====

# 3
# LaIn3Pd

A geometry-optimized LaIn3Pd structure (PBE, Alexandria via LeMat-Bulk).

abc: 5.985 5.985 5.985
angles: 90.00 90.00 90.00
Positions (direct):
La (0.000, 0.000, 0.000)
In (0.000, 0.000, 0.500)
In (0.000, 0.500, 0.000)
In (0.500, 0.000, 0.000)
Pd (0.500, 0.500, 0.500)

Total energy ... -2.62 eV/atom
Offset from the most stable computed form ... 782 kJ/mol of formula units

=====

# 4
# La6In3Pd

A geometry-optimized La6In3Pd structure (PBE, Alexandria via LeMat-Bulk).

abc: 9.684 5.423 12.096
angles: 90.00 106.53 90.00
Positions (direct):
La (0.031, 0.250, 0.414)
La (0.171, 0.750, 0.171)
La (0.281, 0.250, 0.006)
La (0.360, 0.750, 0.831)
La (0.375, 0.250, 0.355)
La (0.411, 0.250, 0.626)
La (0.589, 0.750, 0.374)
La (0.625, 0.750, 0.645)
La (0.640, 0.250, 0.169)
La (0.719, 0.750, 0.994)
La (0.829, 0.250, 0.829)
La (0.969, 0.750, 0.586)
In (0.031, 0.750, 0.880)
In (0.120, 0.250, 0.725)
In (0.267, 0.750, 0.472)
In (0.733, 0.250, 0.528)
In (0.880, 0.750, 0.275)
In (0.969, 0.250, 0.120)
Pd (0.459, 0.750, 0.111)
Pd (0.541, 0.250, 0.889)

Total energy ... -4.74 eV/atom
Offset from the most stable computed form ... 0 kJ/mol of formula units

=====

# 5
# La2InPd4

A geometry-optimized La2InPd4 structure (PBE, Alexandria via LeMat-Bulk).

abc: 5.019 5.019 14.557
angles: 90.00 90.00 90.00
Positions (direct):
La (0.000, 0.000, 0.135)
La (0.000, 0.000, 0.865)
La (0.500, 0.500, 0.365)
La (0.500, 0.500, 0.635)
In (0.000, 0.000, 0.500)
In (0.500, 0.500, 0.000)
Pd (0.000, 0.000, 0.315)
Pd (0.000, 0.000, 0.685)
Pd (0.000, 0.500, 0.000)
Pd (0.000, 0.500, 0.500)
Pd (0.500, 0.000, 0.000)
Pd (0.500, 0.000, 0.500)
Pd (0.500, 0.500, 0.185)
Pd (0.500, 0.500, 0.815)

Total energy ... -5.11 eV/atom

=====

# 6
# La2InPd9

A geometry-optimized La2InPd9 structure (PBE, Alexandria via LeMat-Bulk).

abc: 9.646 9.646 9.646
angles: 32.54 32.54 32.54
Positions (direct):
La (0.134, 0.134, 0.134)
La (0.866, 0.866, 0.866)
In (0.000, 0.000, 0.000)
Pd (0.082, 0.585, 0.585)
Pd (0.333, 0.333, 0.333)
Pd (0.415, 0.415, 0.918)
Pd (0.415, 0.918, 0.415)
Pd (0.500, 0.500, 0.500)
Pd (0.585, 0.082, 0.585)
Pd (0.585, 0.585, 0.082)
Pd (0.667, 0.667, 0.667)
Pd (0.918, 0.415, 0.415)

Total energy ... -5.48 eV/atom

=====

# 7
# La3In2Pd4

A geometry-optimized La3In2Pd4 structure (PBE, Alexandria via LeMat-Bulk).

abc: 5.641 5.641 9.055
angles: 93.93 93.93 49.07
Positions (direct):
La (0.000, 0.000, 0.000)
La (0.373, 0.373, 0.611)
La (0.627, 0.627, 0.389)
In (0.324, 0.324, 0.217)
In (0.676, 0.676, 0.783)
Pd (0.081, 0.081, 0.632)
Pd (0.280, 0.280, 0.911)
Pd (0.720, 0.720, 0.089)
Pd (0.919, 0.919, 0.368)

Total energy ... -5.33 eV/atom

=====

# 8
# La2InPd2

A geometry-optimized La2InPd2 structure (PBE, Alexandria via LeMat-Bulk).

abc: 3.919 3.919 17.547
angles: 90.00 90.00 90.00
Positions (direct):
La (0.000, 0.000, 0.121)
La (0.000, 0.000, 0.879)
La (0.500, 0.500, 0.379)
La (0.500, 0.500, 0.621)
In (0.000, 0.000, 0.500)
In (0.500, 0.500, 0.000)
Pd (0.000, 0.500, 0.250)
Pd (0.000, 0.500, 0.750)
Pd (0.500, 0.000, 0.250)
Pd (0.500, 0.000, 0.750)

Total energy ... -5.16 eV/atom

=====

# 9
# La4InPd

A geometry-optimized La4InPd structure (PBE, Alexandria via LeMat-Bulk).

abc: 10.210 10.210 10.210
angles: 60.00 60.00 60.00
Positions (direct):
La (0.185, 0.185, 0.815)
La (0.185, 0.815, 0.185)
La (0.185, 0.815, 0.815)
La (0.399, 0.399, 0.399)
La (0.399, 0.399, 0.803)
La (0.399, 0.803, 0.399)
La (0.552, 0.552, 0.948)
La (0.552, 0.948, 0.552)
La (0.552, 0.948, 0.948)
La (0.803, 0.399, 0.399)
La (0.815, 0.185, 0.185)
La (0.815, 0.185, 0.815)
La (0.815, 0.815, 0.185)
La (0.948, 0.552, 0.552)
La (0.948, 0.552, 0.948)
La (0.948, 0.948, 0.552)
In (0.170, 0.170, 0.170)
In (0.170, 0.170, 0.489)
In (0.170, 0.489, 0.170)
In (0.489, 0.170, 0.170)
Pd (0.177, 0.608, 0.608)
Pd (0.608, 0.177, 0.608)
Pd (0.608, 0.608, 0.177)
Pd (0.608, 0.608, 0.608)

Total energy ... -5.07 eV/atom
Offset from the most stable computed form ... 0 kJ/mol of formula units

=====

# 10
# LaIn7Pd5

A geometry-optimized LaIn7Pd5 structure (PBE, Alexandria via LeMat-Bulk).

abc: 7.410 7.410 7.410
angles: 134.48 97.20 100.02
Positions (direct):
La (0.000, 0.000, 0.000)
In (0.182, 0.485, 0.697)
In (0.231, 0.731, 0.500)
In (0.354, 0.354, 0.000)
In (0.357, 0.014, 0.342)
In (0.664, 0.664, 0.000)
In (0.672, 0.014, 0.658)
In (0.788, 0.485, 0.303)
Pd (0.007, 0.499, 0.013)
Pd (0.007, 0.993, 0.508)
Pd (0.486, 0.499, 0.492)
Pd (0.486, 0.993, 0.987)
Pd (0.770, 0.270, 0.500)

Total energy ... -4.35 eV/atom

=====

# 11
# LaIn4Pd15

A geometry-optimized LaIn4Pd15 structure (PBE, Alexandria via LeMat-Bulk).

abc: 4.109 4.109 20.102
angles: 90.00 90.00 90.00
Positions (direct):
La (0.000, 0.000, 0.000)
In (0.000, 0.000, 0.208)
In (0.000, 0.000, 0.402)
In (0.000, 0.000, 0.598)
In (0.000, 0.000, 0.792)
Pd (0.000, 0.500, 0.109)
Pd (0.000, 0.500, 0.304)
Pd (0.000, 0.500, 0.500)
Pd (0.000, 0.500, 0.696)
Pd (0.000, 0.500, 0.891)
Pd (0.500, 0.000, 0.109)
Pd (0.500, 0.000, 0.304)
Pd (0.500, 0.000, 0.500)
Pd (0.500, 0.000, 0.696)
Pd (0.500, 0.000, 0.891)
Pd (0.500, 0.500, 0.000)
Pd (0.500, 0.500, 0.206)
Pd (0.500, 0.500, 0.402)
Pd (0.500, 0.500, 0.598)
Pd (0.500, 0.500, 0.794)

Total energy ... -5.19 eV/atom

=====

# 12
# LaPmInPd

A geometry-optimized LaPmInPd structure (PBE, Alexandria via LeMat-Bulk).

abc: 7.585 7.585 7.585
angles: 90.00 90.00 90.00
Positions (direct):
La (0.000, 0.000, 0.000)
La (0.000, 0.500, 0.500)
La (0.500, 0.000, 0.500)
La (0.500, 0.500, 0.000)
Pm (0.000, 0.000, 0.500)
Pm (0.000, 0.500, 0.000)
Pm (0.500, 0.000, 0.000)
Pm (0.500, 0.500, 0.500)
In (0.250, 0.250, 0.250)
In (0.250, 0.750, 0.750)
In (0.750, 0.250, 0.750)
In (0.750, 0.750, 0.250)
Pd (0.250, 0.250, 0.750)
Pd (0.250, 0.750, 0.250)
Pd (0.750, 0.250, 0.250)
Pd (0.750, 0.750, 0.750)

Total energy ... -4.93 eV/atom

=====

Values of formation enthalpy at 0 K, in order: -0.460; -0.161; 1.050; -0.444; -0.343; -0.535; -0.769; -0.560; -0.466; -0.500; -0.499; -0.531, all in eV per atom.
Values of calculated volume, in order: 500.90; 384.99; 214.34; 608.97; 366.70; 230.91; 217.10; 269.53; 752.62; 267.60; 339.41; 436.38, all in Å³ per cell.